No. 1
{"formula": "KAcH2F6", "functional": "GGA-PBE", "state": "optimized geometry", "lattice_angstrom": [[6.537, 0.283, -0.627], [-0.519, 6.523, -0.627], [-2.451, -2.772, 6.952]], "species": ["K", "K", "Ac", "Ac", "H", "H", "H", "H", "F", "F", "F", "F", "F", "F", "F", "F", "F", "F", "F", "F"], "frac_coords": [[0.149, 0.851, 0.250], [0.851, 0.149, 0.750], [0.594, 0.406, 0.250], [0.406, 0.594, 0.750], [0.290, 0.101, 0.726], [0.899, 0.710, 0.774], [0.710, 0.899, 0.274], [0.101, 0.290, 0.226], [0.025, 0.377, 0.339], [0.623, 0.975, 0.161], [0.975, 0.623, 0.661], [0.377, 0.025, 0.839], [0.180, 0.201, 0.119], [0.799, 0.820, 0.381], [0.820, 0.799, 0.881], [0.201, 0.180, 0.619], [0.449, 0.688, 0.479], [0.312, 0.551, 0.021], [0.551, 0.312, 0.521], [0.688, 0.449, 0.979]], "m_tot_mub_per_fu": 0.1, "energy_ev_per_atom": -5.241}

---

No. 2
{"formula": "Mg2Ag7Au", "functional": "GGA-PBE", "state": "optimized geometry", "lattice_angstrom": [[-2.438, -1.518, -0.216], [0.250, -1.717, 9.265], [-4.270, 7.419, -3.945]], "species": ["Mg", "Mg", "Ag", "Ag", "Ag", "Ag", "Ag", "Ag", "Ag", "Au"], "frac_coords": [[0.500, 0.679, 0.321], [0.500, 0.321, 0.679], [0.000, 0.820, 0.180], [0.000, 0.180, 0.820], [0.500, 0.141, 0.323], [0.500, 0.859, 0.677], [0.500, 0.323, 0.141], [0.500, 0.677, 0.859], [0.500, 0.500, 0.500], [0.000, 0.000, 0.000]], "m_tot_mub_per_fu": 0.0, "energy_ev_per_atom": -2.513}

---

No. 3
{"formula": "CsTaSeN2", "functional": "GGA-PBE", "state": "optimized geometry", "lattice_angstrom": [[4.277, 0.000, 0.000], [0.000, 4.277, 0.000], [0.000, 0.000, 5.319]], "species": ["Cs", "N", "N", "Se", "Ta"], "frac_coords": [[0.500, 0.500, 0.500], [0.000, 0.500, 0.000], [0.500, 0.000, 0.000], [0.000, 0.000, 0.500], [0.000, 0.000, 0.000]], "m_tot_mub_per_fu": 1.4, "energy_ev_per_atom": -6.479, "formation_energy_uncorrected_ev_per_fu": 0.4, "de_polymorph_ev_per_fu": 0.00}

---

No. 4
{"formula": "TbY4ScS8", "functional": "GGA-PBE", "state": "optimized geometry", "lattice_angstrom": [[7.993, 0.000, 0.000], [3.996, 6.922, 0.000], [3.996, 2.307, 6.530]], "species": ["Tb", "Y", "Y", "Y", "Y", "Sc", "S", "S", "S", "S", "S", "S", "S", "S"], "frac_coords": [[0.003, 0.003, 0.990], [0.625, 0.625, 0.125], [0.003, 0.490, 0.503], [0.490, 0.003, 0.503], [0.003, 0.003, 0.503], [0.375, 0.375, 0.875], [0.248, 0.756, 0.747], [0.756, 0.248, 0.747], [0.248, 0.248, 0.747], [0.248, 0.248, 0.256], [0.758, 0.224, 0.259], [0.224, 0.758, 0.259], [0.758, 0.758, 0.259], [0.759, 0.759, 0.724]], "m_tot_mub_per_fu": 0.8, "energy_ev_per_atom": -6.917, "formation_energy_uncorrected_ev_per_fu": -27.0}

---

No. 5
{"formula": "Pr8Rh3CBr4", "functional": "GGA-PBE", "state": "optimized geometry", "lattice_angstrom": [[8.215, 0.000, 0.000], [0.000, 9.115, 0.622], [-4.108, -4.098, 5.815]], "species": ["Pr", "Pr", "Pr", "Pr", "Pr", "Pr", "Pr", "Pr", "Rh", "Rh", "Rh", "C", "Br", "Br", "Br", "Br"], "frac_coords": [[0.220, 0.687, 0.967], [0.220, 0.687, 0.439], [0.266, 0.298, 0.532], [0.747, 0.687, 0.967], [0.253, 0.313, 0.033], [0.734, 0.702, 0.468], [0.780, 0.313, 0.561], [0.780, 0.313, 0.033], [0.500, 0.500, 0.000], [0.500, 0.500, 0.500], [0.000, 0.500, 0.500], [0.000, 0.500, 0.000], [0.500, 0.000, 0.000], [0.500, 0.000, 0.500], [0.000, 0.000, 0.000], [0.000, 0.000, 0.500]], "m_tot_mub_per_fu": 0.0, "energy_ev_per_atom": -5.717, "formation_energy_uncorrected_ev_per_fu": -15.3}

---

No. 6
{"formula": "Np2Ge4Pt3Au", "functional": "GGA-PBE", "state": "optimized geometry", "lattice_angstrom": [[-4.159, -0.456, 1.226], [1.301, -1.871, 3.717], [0.320, 9.119, 4.477]], "species": ["Np", "Np", "Ge", "Ge", "Ge", "Ge", "Pt", "Pt", "Pt", "Au"], "frac_coords": [[0.500, 0.000, 0.248], [0.000, 0.500, 0.752], [0.500, 0.500, 0.000], [0.000, 0.000, 0.000], [0.500, 0.000, 0.639], [0.000, 0.500, 0.361], [0.000, 0.000, 0.500], [0.500, 0.000, 0.878], [0.000, 0.500, 0.122], [0.500, 0.500, 0.500]], "m_tot_mub_per_fu": 7.9, "energy_ev_per_atom": -7.022}

---

No. 7
{"formula": "Li2BeTeS4", "functional": "GGA-PBE", "state": "optimized geometry", "lattice_angstrom": [[7.299, -0.014, 0.015], [-0.019, 7.299, 0.015], [-3.573, -3.575, 5.306]], "species": ["Li", "Li", "Li", "Li", "Be", "Be", "Te", "Te", "S", "S", "S", "S", "S", "S", "S", "S"], "frac_coords": [[0.500, 0.000, 0.000], [0.500, 0.000, 0.500], [0.000, 0.000, 0.500], [0.500, 0.500, 0.000], [0.000, 0.500, 0.000], [0.000, 0.500, 0.500], [0.500, 0.500, 0.500], [0.000, 0.000, 0.000], [0.222, 0.715, 0.014], [0.785, 0.278, 0.486], [0.215, 0.722, 0.514], [0.778, 0.285, 0.986], [0.753, 0.735, 0.000], [0.765, 0.747, 0.500], [0.235, 0.253, 0.500], [0.247, 0.265, 0.000]], "m_tot_mub_per_fu": 0.0, "energy_ev_per_atom": -3.967, "formation_energy_uncorrected_ev_per_fu": -4.5}

---

No. 8
{"formula": "BaTi3Br", "functional": "GGA-PBE", "state": "optimized geometry", "lattice_angstrom": [[-0.522, -3.507, 3.476], [1.479, -3.446, -3.255], [4.711, 0.694, 1.407]], "species": ["Ba", "Br", "Ti", "Ti", "Ti"], "frac_coords": [[0.500, 0.500, 0.500], [0.000, 0.000, 0.000], [0.000, 0.500, 0.000], [0.000, 0.000, 0.500], [0.500, 0.000, 0.000]], "m_tot_mub_per_fu": 1.1, "energy_ev_per_atom": -4.847, "formation_energy_uncorrected_ev_per_fu": 3.0, "de_polymorph_ev_per_fu": 0.00}

---

No. 9
{"formula": "KVRu2", "functional": "GGA-PBE", "state": "optimized geometry", "lattice_angstrom": [[-2.815, -3.795, -2.145], [2.381, -3.477, 3.027], [-5.425, -2.697, 5.615]], "species": ["Ru", "Ru", "Ru", "Ru", "K", "K", "V", "V"], "frac_coords": [[0.802, 0.125, 0.250], [0.948, 0.625, 0.250], [0.375, 0.198, 0.750], [0.875, 0.052, 0.750], [0.500, 0.500, 0.000], [0.250, 0.750, 0.500], [0.000, 0.000, 0.000], [0.750, 0.250, 0.500]], "m_tot_mub_per_fu": 0.0, "energy_ev_per_atom": -5.915, "de_polymorph_ev_per_fu": 0.46}

---

No. 10
{"formula": "LiNd3Hg5", "functional": "GGA-PBE", "state": "optimized geometry", "lattice_angstrom": [[6.402, 0.000, 0.000], [0.000, 7.994, -4.615], [0.000, 0.000, 9.231]], "species": ["Li", "Li", "Nd", "Nd", "Nd", "Nd", "Nd", "Nd", "Hg", "Hg", "Hg", "Hg", "Hg", "Hg", "Hg", "Hg", "Hg", "Hg"], "frac_coords": [[0.000, 0.000, 0.000], [0.500, 0.000, 0.000], [0.750, 0.367, 0.367], [0.750, 0.000, 0.633], [0.750, 0.633, 0.000], [0.250, 0.633, 0.633], [0.250, 0.000, 0.367], [0.250, 0.367, 0.000], [0.000, 0.667, 0.333], [0.500, 0.333, 0.667], [0.000, 0.333, 0.667], [0.500, 0.667, 0.333], [0.750, 0.711, 0.711], [0.750, 0.000, 0.289], [0.750, 0.289, 0.000], [0.250, 0.289, 0.289], [0.250, 0.000, 0.711], [0.250, 0.711, 0.000]], "m_tot_mub_per_fu": 0.0, "energy_ev_per_atom": -2.402}

---

No. 11
{"formula": "RbCr2S4", "functional": "GGA-PBE", "state": "optimized geometry", "lattice_angstrom": [[4.363, -5.401, 4.293], [6.263, -5.032, 1.445], [3.420, 3.479, 2.732]], "species": ["Rb", "Cr", "Cr", "S", "S", "S", "S"], "frac_coords": [[0.500, 0.500, 0.500], [0.248, 0.248, 0.794], [0.752, 0.752, 0.206], [0.655, 0.655, 0.957], [0.345, 0.345, 0.043], [0.176, 0.176, 0.448], [0.824, 0.824, 0.552]], "m_tot_mub_per_fu": 3.0, "energy_ev_per_atom": -6.020, "formation_energy_uncorrected_ev_per_fu": -5.4, "de_polymorph_ev_per_fu": 0.45}

---

- Which formula does entry 10 have?
  LiNd3Hg5